i | # HgGeB4 (PBE, optimized geometry)
data_HgGeB4
_chemical_formula_sum 'Hg2 Ge2 B8'
_cell_length_a 3.069
_cell_length_b 5.273
_cell_length_c 8.606
_cell_angle_alpha 90.00
_cell_angle_beta 90.00
_cell_angle_gamma 90.00
_symmetry_space_group_name_H-M 'I m m m'
_symmetry_Int_Tables_number 71
_symmetry_space_group_name_Hall '-I 2 2'
loop_
_atom_site_label
_atom_site_type_symbol
_atom_site_fract_x
_atom_site_fract_y
_atom_site_fract_z
_atom_site_occupancy
Hg1 Hg 0.000 0.000 0.000 1
Ge1 Ge 0.000 0.000 0.500 1
B1 B 0.000 0.331 0.244 1
# **Crystal system**: orthorhombic

ii | # HgGeB4 (PBE, optimized geometry)
data_HgGeB4
_chemical_formula_sum 'Hg1 Ge1 B4'
_cell_length_a 3.0255
_cell_length_b 3.0255
_cell_length_c 9.1964
_cell_angle_alpha 90.00
_cell_angle_beta 90.00
_cell_angle_gamma 120.00
_symmetry_space_group_name_H-M 'P 6/m m m'
_symmetry_Int_Tables_number 191
_symmetry_space_group_name_Hall '-P 6 2'
loop_
_atom_site_label
_atom_site_type_symbol
_atom_site_fract_x
_atom_site_fract_y
_atom_site_fract_z
_atom_site_occupancy
Hg1 Hg 0.0000 0.0000 0.0000 1
Ge1 Ge 0.0000 0.0000 0.5000 1
B1 B 0.3333 0.6667 0.3067 1
# **Crystal system**: hexagonal

Short version: ii is the most stable of them.